The following is a PBE-GGA calculation of a geometry-optimized TlFePt6 structure, from Alexandria via LeMat-Bulk.

For the density of states at the Fermi level, the calculation gives 0.87 states/eV per atom. For the calculated volume, the calculation gives 129.0 Å³ per cell. The calculation puts the formation energy at -0.129 eV/atom. Its space-group type is P4/mmm (123). Its crystal system is tetragonal.

Lattice parameters (Å, degrees): 3.998 3.998 8.073 90.00 90.00 90.00
Fractional positions:
Tl (0.000, 0.000, 0.000)
Fe (0.000, 0.000, 0.500)
Pt (0.500, 0.500, 0.000)
Pt (0.500, 0.500, 0.500)
Pt (0.500, 0.000, 0.268)
Pt (0.500, 0.000, 0.732)
Pt (0.000, 0.500, 0.268)
Pt (0.000, 0.500, 0.732)